(P)
The following is a meta-GGA SCAN calculation of a PBEsol-optimized structure of Mg2Pd2Au, from Alexandria via LeMat-Bulk.

a b c (Å): 7.2442 7.2442 3.1421
angles (deg): 90.00 90.00 90.00
Last column: nearest neighbours and their distance in Å.
Fractional coordinates of all 10 atoms:
Mg: 0.1658 0.3342 0.0000  6 Pd 2.59-2.69
Mg: 0.3342 0.8342 0.0000  6 Pd 2.59-2.69
Mg: 0.6658 0.1658 0.0000  6 Pd 2.59-2.69
Mg: 0.8342 0.6658 0.0000  6 Pd 2.59-2.69
Pd: 0.1336 0.6336 0.5000  6 Mg 2.59-2.69, 1 Pd 2.74, 2 Au 2.83
Pd: 0.3664 0.1336 0.5000  6 Mg 2.59-2.69, 1 Pd 2.74, 2 Au 2.83
Pd: 0.6336 0.8664 0.5000  6 Mg 2.59-2.69, 1 Pd 2.74, 2 Au 2.83
Pd: 0.8664 0.3664 0.5000  6 Mg 2.59-2.69, 1 Pd 2.74, 2 Au 2.83
Au: 0.0000 0.0000 0.5000  4 Pd 2.83, 8 Mg 3.13, 2 Au 3.14
Au: 0.5000 0.5000 0.5000  4 Pd 2.83, 8 Mg 3.13, 2 Au 3.14



(Q)
The following is a meta-GGA SCAN calculation of a PBEsol-optimized structure of Mg2Pd2Au, from Alexandria via LeMat-Bulk.

a b c (Å): 7.3476 7.3476 7.3476
angles (deg): 151.44 151.44 40.83
Last column: nearest neighbours and their distance in Å.
Fractional coordinates of all 5 atoms:
Mg: 0.1051 0.1051 0.0000  4 Pd 2.70, 1 Mg 2.90, 4 Au 2.94
Mg: 0.8949 0.8949 0.0000  4 Pd 2.70, 1 Mg 2.90, 4 Au 2.94
Pd: 0.2500 0.7500 0.5000  4 Pd 2.56, 4 Mg 2.70
Pd: 0.7500 0.2500 0.5000  4 Pd 2.56, 4 Mg 2.70
Au: 0.5000 0.5000 0.0000  8 Mg 2.94



If we sort the structures by their calculated energies, the order from most to least stable is (P), (Q).



(P)
The following is a meta-GGA SCAN calculation of a PBEsol-optimized structure of Mg2ReAu, from Alexandria via LeMat-Bulk.

a b c (Å): 5.0520 5.0520 2.7130
angles (deg): 90.00 90.00 109.36
Last column: nearest neighbours and their distance in Å.
Fractional coordinates of all 4 atoms:
Mg: 0.0000 0.5000 0.0000  4 Mg 2.71-2.92, 4 Re 2.87, 4 Au 2.87
Mg: 0.5000 0.0000 0.0000  4 Mg 2.71-2.92, 4 Re 2.87, 4 Au 2.87
Re: 0.0000 0.0000 0.5000  2 Re 2.71, 8 Mg 2.87, 2 Au 2.92
Au: 0.5000 0.5000 0.5000  2 Au 2.71, 8 Mg 2.87, 2 Re 2.92



(Q)
The following is a meta-GGA SCAN calculation of a PBEsol-optimized structure of Mg2ReAu, from Alexandria via LeMat-Bulk.

a b c (Å): 4.8162 4.8162 5.1330
angles (deg): 99.78 99.78 34.01
Last column: nearest neighbours and their distance in Å.
Fractional coordinates of all 4 atoms:
Mg: 0.2471 0.2471 0.2587  3 Re 2.78-2.81, 3 Au 2.80-2.88, 6 Mg 2.82-3.01
Mg: 0.7529 0.7529 0.7413  3 Re 2.78-2.81, 3 Au 2.80-2.88, 6 Mg 2.82-3.01
Re: 0.0000 0.0000 0.5000  6 Mg 2.78-2.81, 2 Re 2.82, 4 Au 2.93
Au: 0.5000 0.5000 0.0000  6 Mg 2.80-2.88, 2 Au 2.82, 4 Re 2.93



If we sort the structures by their calculated energies, the order from most to least stable is (P), (Q).



(P)
The following is a meta-GGA SCAN calculation of a PBEsol-optimized structure of MgAu2Se, from Alexandria via LeMat-Bulk.

a b c (Å): 6.1295 6.1295 6.1295
angles (deg): 38.54 38.54 38.54
Last column: nearest neighbours and their distance in Å.
Fractional coordinates of all 4 atoms:
Mg: 0.0000 0.0000 0.0000  3 Se 2.71, 3 Au 2.75
Au: 0.2480 0.2480 0.2480  3 Au 2.70, 3 Mg 2.75
Au: 0.5015 0.5015 0.5015  3 Au 2.70, 3 Se 2.77
Se: 0.7478 0.7478 0.7478  3 Mg 2.71, 3 Au 2.77



(Q)
The following is a meta-GGA SCAN calculation of a PBEsol-optimized structure of MgAu2Se, from Alexandria via LeMat-Bulk.

a b c (Å): 5.5344 5.5344 5.5344
angles (deg): 138.89 138.89 59.54
Last column: nearest neighbours and their distance in Å.
Fractional coordinates of all 4 atoms:
Mg: 0.0000 0.0000 0.0000  4 Se 2.75
Au: 0.2500 0.7500 0.5000  4 Au 2.75
Au: 0.7500 0.2500 0.5000  4 Au 2.75
Se: 0.5000 0.5000 0.0000  4 Mg 2.75



If we sort the structures by their calculated energies, the order from most to least stable is (Q), (P).



(P)
The following is a meta-GGA SCAN calculation of a PBEsol-optimized structure of MgTc2Au, from Alexandria via LeMat-Bulk.

a b c (Å): 4.4138 4.4138 4.4138
angles (deg): 60.00 60.00 60.00
Last column: nearest neighbours and their distance in Å.
Fractional coordinates of all 4 atoms:
Mg: 0.0000 0.0000 0.0000  4 Tc 2.70, 4 Au 2.70
Tc: 0.5000 0.5000 0.5000  4 Tc 2.70, 4 Au 2.70
Tc: 0.7500 0.7500 0.7500  4 Mg 2.70, 4 Tc 2.70
Au: 0.2500 0.2500 0.2500  4 Tc 2.70, 4 Mg 2.70



(Q)
The following is a meta-GGA SCAN calculation of a PBEsol-optimized structure of MgTc2Au, from Alexandria via LeMat-Bulk.

a b c (Å): 5.0738 5.0738 2.7094
angles (deg): 90.00 90.00 119.03
Last column: nearest neighbours and their distance in Å.
Fractional coordinates of all 4 atoms:
Mg: 0.0000 0.0000 0.0000  2 Au 2.57, 2 Mg 2.71, 8 Tc 2.88
Tc: 0.0000 0.5000 0.5000  4 Tc 2.57-2.71, 4 Mg 2.88, 4 Au 2.88
Tc: 0.5000 0.0000 0.5000  4 Tc 2.57-2.71, 4 Mg 2.88, 4 Au 2.88
Au: 0.5000 0.5000 0.0000  2 Mg 2.57, 2 Au 2.71, 8 Tc 2.88



If we sort the structures by their calculated energies, the order from most to least stable is (P), (Q).



(P)
The following is a meta-GGA SCAN calculation of a PBEsol-optimized structure of MgTc2Au, from Alexandria via LeMat-Bulk.

a b c (Å): 2.8222 3.7881 5.8051
angles (deg): 90.00 90.00 90.00
Last column: nearest neighbours and their distance in Å.
Fractional coordinates of all 4 atoms:
Mg: 0.0000 0.0000 0.0000  4 Au 2.71, 5 Tc 2.75-2.91, 2 Mg 2.82
Tc: 0.0000 0.0000 0.4734  6 Tc 2.58-2.82, 1 Mg 2.75
Tc: 0.5000 0.5000 0.2925  6 Tc 2.58-2.82, 1 Au 2.78
Au: 0.5000 0.5000 0.7711  4 Mg 2.71, 6 Tc 2.78-3.03, 2 Au 2.82



(Q)
The following is a meta-GGA SCAN calculation of a PBEsol-optimized structure of MgTc2Au, from Alexandria via LeMat-Bulk.

a b c (Å): 2.9392 2.9392 7.3028
angles (deg): 90.00 90.00 90.00
Last column: nearest neighbours and their distance in Å.
Fractional coordinates of all 4 atoms:
Mg: 0.0000 0.0000 0.0000  4 Au 2.80, 4 Tc 2.87, 4 Mg 2.94
Tc: 0.0000 0.0000 0.4614  4 Tc 2.50
Tc: 0.5000 0.5000 0.2711  4 Tc 2.50
Au: 0.5000 0.5000 0.7435  4 Mg 2.80, 4 Tc 2.93, 4 Au 2.94



If we sort the structures by their calculated energies, the order from most to least stable is (Q), (P).



(P)
The following is a meta-GGA SCAN calculation of a PBEsol-optimized structure of Mg2WAu, from Alexandria via LeMat-Bulk.

a b c (Å): 4.6159 4.6159 4.6159
angles (deg): 60.00 60.00 60.00
Last column: nearest neighbours and their distance in Å.
Fractional coordinates of all 4 atoms:
Mg: 0.0000 0.0000 0.0000  4 Mg 2.83, 4 Au 2.83
Mg: 0.2500 0.2500 0.2500  4 W 2.83, 4 Mg 2.83
W: 0.5000 0.5000 0.5000  4 Au 2.83, 4 Mg 2.83
Au: 0.7500 0.7500 0.7500  4 W 2.83, 4 Mg 2.83



(Q)
The following is a meta-GGA SCAN calculation of a PBEsol-optimized structure of Mg2WAu, from Alexandria via LeMat-Bulk.

a b c (Å): 5.0502 5.0502 5.0502
angles (deg): 133.05 133.05 68.57
Last column: nearest neighbours and their distance in Å.
Fractional coordinates of all 4 atoms:
Mg: 0.0000 0.0000 0.0000  4 W 2.84, 4 Mg 2.90, 4 Au 2.90
Mg: 0.7500 0.2500 0.5000  4 Au 2.84, 4 W 2.90, 4 Mg 2.90
W: 0.5000 0.5000 0.0000  8 Mg 2.84-2.90, 4 Au 2.90
Au: 0.2500 0.7500 0.5000  8 Mg 2.84-2.90, 4 W 2.90



If we sort the structures by their calculated energies, the order from most to least stable is (Q), (P).